A plane-wave DFT calculation with PBE-GGA was carried out for a relaxed Ba2CaAl6 crystal. Values from VASP.

Values from the calculation:
Space-group type: P-3m1, No. 164
Energy relative to the elements: -126.4 meV per atom

Quantum ESPRESSO input file:
```
&SYSTEM
  ibrav = 0, nat = 9, ntyp = 3
/
ATOMIC_SPECIES
Ba 137.33 Ba.upf
Ca 40.08 Ca.upf
Al 26.98 Al.upf
ATOMIC_POSITIONS angstrom
Ba 0.0000 3.7004 0.9558
Ba 3.2046 1.8502 5.8324
Ca 0.0000 0.0000 0.0000
Al 0.0000 2.0640 4.3054
Al -1.4171 4.5186 4.3054
Al 1.7875 1.0320 2.4828
Al 1.4171 4.5186 4.3054
Al 4.6218 1.0320 2.4828
Al 3.2046 3.4866 2.4828
CELL_PARAMETERS angstrom
6.4093 0.0000 0.0000
-3.2046 5.5506 0.0000
0.0000 0.0000 6.7882
```

=====

A plane-wave DFT calculation with PBE-GGA was carried out for a relaxed Ac4BiSbAs2 crystal. Values from VASP.

Values from the calculation:
Space-group type: P2/m, No. 10
Formation energy (no corrections): -1.280 eV/atom

Quantum ESPRESSO input file:
```
&SYSTEM
  ibrav = 0, nat = 8, ntyp = 4
/
ATOMIC_SPECIES
Ac 227.00 Ac.upf
Bi 208.98 Bi.upf
Sb 121.76 Sb.upf
As 74.92 As.upf
ATOMIC_POSITIONS angstrom
Ac 1.3365 0.0000 1.7949
Ac -0.0129 2.3413 5.8954
Ac 5.4223 2.3413 1.8071
Ac 4.0728 0.0000 5.9076
Bi 2.7047 2.3413 3.8513
Sb -1.3493 0.0000 3.8513
As 0.0000 2.3413 0.0000
As 4.0539 0.0000 0.0000
CELL_PARAMETERS angstrom
8.1079 0.0000 0.0000
0.0000 4.6826 0.0000
-2.6985 0.0000 7.7025
```

=====

A plane-wave DFT calculation with PBE-GGA was carried out for a relaxed Sr2PrOsN4 crystal. Values from VASP.

Values from the calculation:
Space-group type: Cmcm, No. 63
Formation energy (no corrections): -0.375 eV/atom

Quantum ESPRESSO input file:
```
&SYSTEM
  ibrav = 0, nat = 16, ntyp = 4
/
ATOMIC_SPECIES
Sr 87.62 Sr.upf
Pr 140.91 Pr.upf
Os 190.23 Os.upf
N 14.01 N.upf
ATOMIC_POSITIONS angstrom
Sr 1.7834 4.4021 6.8538
Sr 1.7834 4.4021 12.3315
Sr 1.7834 -4.4021 0.4587
Sr 1.7834 -4.4021 5.9364
Pr 1.7834 1.3078 9.5926
Pr 1.7834 -1.3078 3.1975
Os 1.7834 1.9520 3.1975
Os 1.7834 -1.9520 9.5926
N 1.7834 4.9257 9.5926
N 1.7834 3.3064 1.8611
N 1.7834 3.3064 4.5340
N 1.7834 0.0000 0.0000
N 1.7834 0.0000 6.3951
N 1.7834 -3.3064 8.2562
N 1.7834 -3.3064 10.9291
N 1.7834 -4.9257 3.1975
CELL_PARAMETERS angstrom
1.7834 -5.9963 0.0000
1.7834 5.9963 0.0000
0.0000 0.0000 12.7902
```

=====

A plane-wave DFT calculation with PBE-GGA was carried out for a relaxed CeErSnTe crystal. Values from VASP.

Values from the calculation:
Space-group type: R3m, No. 160
Formation energy (no corrections): -0.978 eV/atom

Quantum ESPRESSO input file:
```
&SYSTEM
  ibrav = 0, nat = 12, ntyp = 4
/
ATOMIC_SPECIES
Ce 140.12 Ce.upf
Er 167.26 Er.upf
Sn 118.71 Sn.upf
Te 127.60 Te.upf
ATOMIC_POSITIONS angstrom
Ce 0.0000 0.0000 0.0000
Ce 0.0000 2.5621 14.4694
Ce 2.2188 1.2810 7.2347
Er 0.0000 0.0000 10.9991
Er 0.0000 2.5621 3.7644
Er 2.2188 1.2810 18.2338
Sn 0.0000 0.0000 5.4432
Sn 0.0000 2.5621 19.9126
Sn 2.2188 1.2810 12.6779
Te 0.0000 0.0000 16.4277
Te 0.0000 2.5621 9.1930
Te 2.2188 1.2810 1.9584
CELL_PARAMETERS angstrom
4.4377 0.0000 0.0000
-2.2188 3.8431 0.0000
0.0000 0.0000 21.7040
```

=====

A plane-wave DFT calculation with PBE-GGA was carried out for a relaxed Pm7Sm2Tm3 crystal. Values from VASP.

Values from the calculation:
Space-group type: P2/m, No. 10
Energy relative to the elements: 87.5 meV per atom
Energy above the most stable polymorph in this dataset: 20 meV/atom

Quantum ESPRESSO input file:
```
&SYSTEM
  ibrav = 0, nat = 12, ntyp = 3
/
ATOMIC_SPECIES
Pm 145.00 Pm.upf
Sm 150.36 Sm.upf
Tm 168.93 Tm.upf
ATOMIC_POSITIONS angstrom
Pm 0.0000 0.0000 0.0000
Pm 0.7784 1.8130 3.4243
Pm 0.8204 1.8130 10.1329
Pm 0.8219 0.0000 16.2059
Pm 3.7356 0.0000 2.7212
Pm 3.7372 1.8130 8.7942
Pm 3.7792 1.8130 15.5028
Sm 0.8326 1.8130 13.2925
Sm 3.7250 1.8130 5.6346
Tm 0.7846 0.0000 6.9820
Tm 2.9276 1.8130 0.0000
Tm 3.7729 0.0000 11.9451
CELL_PARAMETERS angstrom
5.8552 0.0000 0.0000
0.0000 3.6259 0.0000
-1.2977 0.0000 18.9271
```

=====

A plane-wave DFT calculation with PBE-GGA was carried out for a relaxed CaBiMo3 crystal. Values from VASP.

Values from the calculation:
Space-group type: Pm-3m, No. 221
Energy relative to the elements: 1964.6 meV per atom
Energy above the most stable polymorph in this dataset: 0 meV/atom

Quantum ESPRESSO input file:
```
&SYSTEM
  ibrav = 0, nat = 5, ntyp = 3
/
ATOMIC_SPECIES
Ca 40.08 Ca.upf
Bi 208.98 Bi.upf
Mo 95.94 Mo.upf
ATOMIC_POSITIONS angstrom
Ca 0.0000 0.0000 0.0000
Bi 2.5533 2.5533 2.5533
Mo 0.0000 2.5533 2.5533
Mo 2.5533 0.0000 2.5533
Mo 2.5533 2.5533 0.0000
CELL_PARAMETERS angstrom
5.1067 0.0000 0.0000
0.0000 5.1067 0.0000
0.0000 0.0000 5.1067
```